Compound: Ca3TcO
Source: the Alexandria database
Functional: PBE
Structure: optimized geometry

a = 4.7515 Å, b = 4.7515 Å, c = 4.7515 Å
α = 90.00°, β = 90.00°, γ = 90.00°
Atoms (fractional coordinates):
Ca  0.0000  0.0000  0.5000
Ca  0.0000  0.5000  0.0000
Ca  0.5000  0.0000  0.0000
Tc  0.5000  0.5000  0.5000
O  0.0000  0.0000  0.0000

E_form (uncorrected) in eV/atom: -0.667
Distance to the lowest polymorph of the same formula in kJ/mol of formula units: 0


Compound: RbTaBe
Source: the Alexandria database
Functional: PBE
Structure: optimized geometry

a = 4.3976 Å, b = 7.6095 Å, c = 12.1031 Å
α = 90.00°, β = 99.61°, γ = 90.00°
Atoms (fractional coordinates):
Rb  0.1393  0.0000  0.3037
Rb  0.3607  0.5000  0.6963
Rb  0.6393  0.5000  0.3037
Rb  0.8607  0.0000  0.6963
Ta  0.0000  0.3330  0.0000
Ta  0.0000  0.9994  0.0000
Ta  0.5000  0.4994  0.0000
Ta  0.5000  0.8330  0.0000
Be  0.0393  0.6663  0.0862
Be  0.4607  0.1663  0.9138
Be  0.5393  0.1663  0.0862
Be  0.9607  0.6663  0.9138

E_form in eV/atom: 0.61
Distance to the lowest polymorph of the same formula in kJ/mol of formula units: 47


Compound: Ac6IrPd2Rh
Source: the Alexandria database
Functional: PBE
Structure: optimized geometry

a = 7.5757 Å, b = 7.5780 Å, c = 8.2729 Å
α = 62.75°, β = 62.76°, γ = 60.11°
Atoms (fractional coordinates):
Ac  0.0000  0.0000  0.0000
Ac  0.1366  0.8604  0.4996
Ac  0.2962  0.3599  0.0000
Ac  0.4985  0.1604  0.4996
Ac  0.6408  0.6564  0.9995
Ac  0.7993  0.4985  0.4992
Ir  0.8987  0.2594  0.2389
Pd  0.2211  0.5813  0.2736
Pd  0.7193  0.0807  0.7770
Rh  0.3997  0.7601  0.7364

E_form in eV/atom: -0.63


Compound: SrCu2I
Source: the Alexandria database
Functional: PBE
Structure: optimized geometry

a = 8.3759 Å, b = 8.3759 Å, c = 6.1340 Å
α = 90.00°, β = 90.00°, γ = 90.00°
Atoms (fractional coordinates):
Sr  0.0000  0.0000  0.0000
Sr  0.0000  0.5000  0.2500
Sr  0.5000  0.0000  0.7500
Sr  0.5000  0.5000  0.5000
Cu  0.2178  0.2500  0.6250
Cu  0.2500  0.7178  0.8750
Cu  0.2500  0.7822  0.3750
Cu  0.2822  0.2500  0.1250
Cu  0.7178  0.7500  0.1250
Cu  0.7500  0.2178  0.3750
Cu  0.7500  0.2822  0.8750
Cu  0.7822  0.7500  0.6250
I  0.0000  0.0000  0.5000
I  0.0000  0.5000  0.7500
I  0.5000  0.0000  0.2500
I  0.5000  0.5000  0.0000

E_form (uncorrected) in eV/atom: 0.110
Distance to the lowest polymorph of the same formula in kJ/mol of formula units: 0